(1)
A plane-wave DFT calculation with PBE was carried out for ReSnGe2 after structural relaxation.

Geometry as CIF:
```
data_ReSnGe2
_chemical_formula_sum 'Re3 Sn3 Ge6'
_symmetry_space_group_name_H-M 'R -3 m'
_symmetry_Int_Tables_number 166
_symmetry_space_group_name_Hall '-R 3 2"'
_cell_length_a 3.1339
_cell_length_b 3.1339
_cell_length_c 28.3338
_cell_angle_alpha 90.00
_cell_angle_beta 90.00
_cell_angle_gamma 120.00
loop_
_atom_site_label
_atom_site_type_symbol
_atom_site_fract_x
_atom_site_fract_y
_atom_site_fract_z
Re1 Re 0.0000 0.0000 0.0000
Sn1 Sn 0.0000 0.0000 0.5000
Ge1 Ge 0.0000 0.0000 0.3980
```

=====

(2)
A plane-wave DFT calculation with PBE was carried out for ReSnGe after structural relaxation.

Geometry as CIF:
```
data_ReSnGe
_chemical_formula_sum 'Re4 Sn4 Ge4'
_symmetry_space_group_name_H-M 'F -4 3 m'
_symmetry_Int_Tables_number 216
_symmetry_space_group_name_Hall 'F -4 2 3'
_cell_length_a 6.2078
_cell_length_b 6.2078
_cell_length_c 6.2078
_cell_angle_alpha 90.00
_cell_angle_beta 90.00
_cell_angle_gamma 90.00
loop_
_atom_site_label
_atom_site_type_symbol
_atom_site_fract_x
_atom_site_fract_y
_atom_site_fract_z
Re1 Re 0.0000 0.0000 0.0000
Sn1 Sn 0.0000 0.0000 0.5000
Ge1 Ge 0.2500 0.2500 0.7500
```

=====

(3)
A plane-wave DFT calculation with PBE was carried out for Sr2ReGe2 after structural relaxation.

Geometry as CIF:
```
data_Sr2ReGe2
_chemical_formula_sum 'Sr4 Re2 Ge4'
_symmetry_space_group_name_H-M 'P 4/m b m'
_symmetry_Int_Tables_number 127
_symmetry_space_group_name_Hall '-P 4 2ab'
_cell_length_a 6.9153
_cell_length_b 6.9153
_cell_length_c 4.9865
_cell_angle_alpha 90.00
_cell_angle_beta 90.00
_cell_angle_gamma 90.00
loop_
_atom_site_label
_atom_site_type_symbol
_atom_site_fract_x
_atom_site_fract_y
_atom_site_fract_z
Sr1 Sr 0.1745 0.3255 0.0000
Re1 Re 0.0000 0.0000 0.5000
Ge1 Ge 0.1464 0.6464 0.5000
```

=====

(4)
A plane-wave DFT calculation with PBE was carried out for SrRe3Ge after structural relaxation.

The calculation puts the relative energy among the computed polymorphs at 0 kJ/mol of formula units.

Geometry as CIF:
```
data_SrRe3Ge
_chemical_formula_sum 'Sr1 Re3 Ge1'
_symmetry_space_group_name_H-M 'P m -3 m'
_symmetry_Int_Tables_number 221
_symmetry_space_group_name_Hall '-P 4 2 3'
_cell_length_a 4.7150
_cell_length_b 4.7150
_cell_length_c 4.7150
_cell_angle_alpha 90.00
_cell_angle_beta 90.00
_cell_angle_gamma 90.00
loop_
_atom_site_label
_atom_site_type_symbol
_atom_site_fract_x
_atom_site_fract_y
_atom_site_fract_z
Sr1 Sr 0.0000 0.0000 0.0000
Re1 Re 0.0000 0.5000 0.5000
Ge1 Ge 0.5000 0.5000 0.5000
```

=====

no.,calculated total energy (eV/atom),calculated formation energy (eV per atom)
1,-6.230,0.191
2,-6.077,0.945
3,-5.003,0.006
4,-7.221,1.507